1.
The following is a PBE calculation of a relaxed structure of BaFe2N2, from Alexandria.

Distance to the lowest polymorph of the same formula (eV/atom): 0.2182

Lattice parameters (Å, degrees): 6.1183 8.9107 9.3832 90.00 90.00 90.00
With the nearest neighbours (Å) after each atom.
Space group Fddd (No. 70, origin choice 2)
Symmetry-distinct sites (fractional):
Ba 0.1250 0.1250 0.1250 x8  6 N 2.89-2.93, 4 Fe 2.94
Fe 0.1250 0.1250 0.4981 x16  4 N 1.94-2.04
N 0.1250 0.2962 0.6250 x16  4 Fe 1.94-2.04

---

2.
The following is a PBE calculation of a relaxed structure of Ba2FeN, from Alexandria.

Electronic total energy (eV/atom): -4.620

Lattice parameters (Å, degrees): 7.8631 7.8631 8.4878 90.00 90.00 90.00
With the nearest neighbours (Å) after each atom.
Space group I-42d (No. 122)
Symmetry-distinct sites (fractional):
Ba 0.1684 0.7500 0.1250 x8  2 N 2.60
Fe 0.0000 0.0000 0.5000 x4  4 Ba 3.43
N 0.0000 0.0000 0.0000 x4  4 Ba 2.60

---

3.
The following is a PBE calculation of a relaxed structure of BaFe3N, from Alexandria.

Distance to the lowest polymorph of the same formula (eV/atom): 2.4713

Lattice parameters (Å, degrees): 4.9510 4.9510 4.9510 90.00 90.00 90.00
With the nearest neighbours (Å) after each atom.
Space group Pm-3m (No. 221)
Symmetry-distinct sites (fractional):
Ba 0.0000 0.0000 0.0000 x1  6 Fe 2.48
Fe 0.0000 0.0000 0.5000 x3  2 Ba 2.48
N 0.5000 0.5000 0.5000 x1  12 Fe 3.50

---

4.
The following is a PBE calculation of a relaxed structure of Ba2FeN2, from Alexandria.

Electronic total energy (eV/atom): -6.153

Lattice parameters (Å, degrees): 4.1379 4.1379 12.8126 90.00 90.00 90.00
With the nearest neighbours (Å) after each atom.
Space group I4/mmm (No. 139)
Symmetry-distinct sites (fractional):
Ba 0.0000 0.0000 0.1379 x4  5 N 2.93-2.94
Fe 0.0000 0.0000 0.5000 x2  2 N 1.70
N 0.0000 0.0000 0.3673 x4  1 Fe 1.70

---

5.
The following is a PBE calculation of a relaxed structure of BaFeN3, from Alexandria.

Electronic total energy (eV/atom): -6.488

Lattice parameters (Å, degrees): 3.9008 3.9008 3.9008 90.00 90.00 90.00
With the nearest neighbours (Å) after each atom.
Space group Pm-3m (No. 221)
Symmetry-distinct sites (fractional):
Ba 0.0000 0.0000 0.0000 x1  12 N 2.76
Fe 0.5000 0.5000 0.5000 x1  6 N 1.95
N 0.0000 0.5000 0.5000 x3  2 Fe 1.95

---

6.
The following is a PBE calculation of a relaxed structure of BaFe2N2, from Alexandria.

Distance to the lowest polymorph of the same formula (eV/atom): 0.2468

Lattice parameters (Å, degrees): 3.8177 3.8177 10.8481 90.00 90.00 90.00
With the nearest neighbours (Å) after each atom.
Space group I4/mmm (No. 139)
Symmetry-distinct sites (fractional):
Ba 0.0000 0.0000 0.0000 x2  2 Fe 2.99, 8 N 3.32
Fe 0.0000 0.0000 0.2758 x4  4 N 1.93
N 0.0000 0.5000 0.2500 x4  4 Fe 1.93

---

7.
The following is a PBE calculation of a relaxed structure of Ba3FeN, from Alexandria.

Distance to the lowest polymorph of the same formula (eV/atom): 0.0000

Lattice parameters (Å, degrees): 5.5736 5.5736 5.5736 90.00 90.00 90.00
With the nearest neighbours (Å) after each atom.
Space group Pm-3m (No. 221)
Symmetry-distinct sites (fractional):
Ba 0.0000 0.0000 0.5000 x3  2 N 2.79
Fe 0.5000 0.5000 0.5000 x1  12 Ba 3.94
N 0.0000 0.0000 0.0000 x1  6 Ba 2.79

---

8.
The following is a PBE calculation of a relaxed structure of BaFe2N, from Alexandria.

Electronic total energy (eV/atom): -6.770

Lattice parameters (Å, degrees): 8.5840 8.5840 8.5840 90.00 90.00 90.00
With the nearest neighbours (Å) after each atom.
Space group Fd-3m (No. 227, origin choice 2)
Symmetry-distinct sites (fractional):
Ba 0.1250 0.1250 0.1250 x8  12 Fe 3.56, 4 N 3.72, 4 Ba 3.72
Fe 0.0000 0.0000 0.5000 x16  2 N 1.86
N 0.1250 0.1250 0.6250 x8  4 Fe 1.86

---

no.,Fermi-level density of states (states/eV/atom)
1,0.80
2,1.53
3,1.52
4,0.00
5,1.20
6,0.61
7,2.66
8,1.29